[1]
A relaxed structure of Pm6Te3P2Br. Source: Alexandria via LeMat-Bulk, functional PBE-GGA.

The structure in extended XYZ format:
```
12
Lattice="9.4675 -2.1270 0.0000 9.4675 2.1270 0.0000 -2.0981 0.0000 8.5311" Properties=species:S:1:pos:R:3 pbc="T T T"
Pm -0.2009 0.0000 2.2173
Pm 5.2271 0.0000 3.7269
Pm 4.3487 0.0000 7.4735
Pm 12.4883 0.0000 1.0576
Pm 11.6098 0.0000 4.8041
Pm 17.0378 0.0000 6.3138
Te 1.2543 0.0000 7.1337
Te 8.4185 0.0000 4.2655
Te 15.5826 0.0000 1.3974
P 2.5111 0.0000 2.8830
P 14.3259 0.0000 5.6480
Br 9.4675 0.0000 0.0000
```

Properties
DOS(E_F)	0.4462	states/eV per atom
V	28.6	Å³/atom
raw formation energy	-17.76	eV/f.u.

[2]
A relaxed structure of Pm8Te4P3Br. Source: Alexandria via LeMat-Bulk, functional PBE-GGA.

The structure in extended XYZ format:
```
16
Lattice="4.2596 2.4593 7.2332 -4.2596 2.4593 7.2332 0.0000 -4.9185 7.2332" Properties=species:S:1:pos:R:3 pbc="T T T"
Pm -2.2539 -1.3013 12.4084
Pm 0.0000 0.0000 5.1427
Pm 0.0000 -2.6026 9.2913
Pm -2.2539 1.3013 9.2913
Pm 2.2539 -1.3013 12.4084
Pm 0.0000 2.6026 12.4084
Pm 0.0000 0.0000 16.5570
Pm 2.2539 1.3013 9.2913
Te 0.0000 0.0000 0.0000
Te -2.1298 -1.2296 7.2332
Te -2.1298 1.2296 14.4665
Te 0.0000 2.4593 7.2332
P -4.2596 0.0000 10.8498
P -2.1298 1.2296 3.6166
P 2.1298 1.2296 3.6166
Br 0.0000 0.0000 10.8499
```

Properties
DOS(E_F)	0.3939	states/eV per atom
V	28.4	Å³/atom
raw formation energy	-24.20	eV/f.u.

[3]
A relaxed structure of Pm6TlP2Br3. Source: Alexandria via LeMat-Bulk, functional PBE-GGA.

The structure in extended XYZ format:
```
12
Lattice="9.5436 -2.0706 0.0000 9.5436 2.0706 0.0000 -2.2707 0.0000 8.5970" Properties=species:S:1:pos:R:3 pbc="T T T"
Pm -0.2511 0.0000 2.2527
Pm 5.1564 0.0000 3.7513
Pm 4.3844 0.0000 7.4804
Pm 12.4320 0.0000 1.1166
Pm 11.6600 0.0000 4.8457
Pm 17.0675 0.0000 6.3443
Tl 9.5436 0.0000 0.0000
P 2.4620 0.0000 2.9608
P 14.3545 0.0000 5.6361
Br 1.2780 0.0000 7.1825
Br 8.4082 0.0000 4.2985
Br 15.5384 0.0000 1.4145
```

Properties
DOS(E_F)	0.4013	states/eV per atom
V	28.3	Å³/atom
raw formation energy	-14.65	eV/f.u.

[4]
A relaxed structure of Pm4ZnPBr2. Source: Alexandria via LeMat-Bulk, functional PBE-GGA.

The structure in extended XYZ format:
```
8
Lattice="7.3139 0.0000 0.0000 0.0000 4.0992 0.0000 -2.3460 0.0000 7.3118" Properties=species:S:1:pos:R:3 pbc="T T T"
Pm 1.1813 0.0000 1.5298
Pm 0.0300 2.0496 5.7213
Pm 4.9379 2.0496 1.5905
Pm 3.7866 0.0000 5.7820
Zn 3.6570 0.0000 0.0000
P 0.0000 2.0496 0.0000
Br -1.1730 0.0000 3.6559
Br 2.4840 2.0496 3.6559
```

Properties
DOS(E_F)	0.4553	states/eV per atom
V	27.4	Å³/atom
raw formation energy	-8.68	eV/f.u.

[5]
A relaxed structure of Pr4P2Br. Source: Alexandria via LeMat-Bulk, functional PBE-GGA.

The structure in extended XYZ format:
```
7
Lattice="2.0690 1.1945 14.1959 -2.0690 1.1945 14.1959 0.0000 -2.3890 14.1959" Properties=species:S:1:pos:R:3 pbc="T T T"
Pr 0.0000 0.0000 5.3600
Pr 0.0000 0.0000 11.9727
Pr 0.0000 0.0000 30.6151
Pr 0.0000 0.0000 37.2279
P 0.0000 0.0000 17.9421
P 0.0000 0.0000 24.6457
Br 0.0000 0.0000 0.0000
```

Properties
DOS(E_F)	0.6711	states/eV per atom
V	30.1	Å³/atom
raw formation energy	-8.82	eV/f.u.

[6]
A relaxed structure of Pr8P6Br. Source: Alexandria via LeMat-Bulk, functional PBE-GGA.

The structure in extended XYZ format:
```
15
Lattice="11.0890 0.0000 0.0000 -5.5445 9.6033 0.0000 0.0000 0.0000 4.3059" Properties=species:S:1:pos:R:3 pbc="T T T"
Pr -1.6294 3.5228 1.0568
Pr -1.6790 9.2531 1.0568
Pr 0.0000 6.4022 3.2375
Pr 2.2361 3.1725 3.2491
Pr 3.3084 6.4308 1.0568
Pr 5.5445 3.2011 1.0683
Pr 7.2234 0.3503 3.2491
Pr 7.1739 6.0806 3.2491
P -2.1183 6.3766 1.0914
P 1.0813 4.5805 1.0914
P 4.5075 1.3538 3.2145
P 1.0370 8.2495 1.0914
P 4.4631 5.0228 3.2145
P 7.6628 3.2267 3.2145
Br 0.0000 0.0000 0.0000
```

Properties
DOS(E_F)	0.7182	states/eV per atom
V	30.6	Å³/atom
raw formation energy	-18.90	eV/f.u.